No. 1
A relaxed LiPaTe3 crystal. Source: the Alexandria database, functional GGA-PBE.

Lattice parameters (Å, degrees): 4.9374 7.7404 11.3587 101.16 90.00 108.60
Fractional coordinates of all 10 atoms:
1 Te 0.7383 0.4765 0.3468
2 Te 0.6319 0.2638 0.9696
3 Te 0.0083 0.0166 0.3160
4 Te 0.2617 0.5235 0.6532
5 Te 0.3681 0.7362 0.0304
6 Te 0.9917 0.9834 0.6840
7 Pa 0.4394 0.8789 0.7993
8 Pa 0.5606 0.1211 0.2007
9 Li 0.8259 0.6517 0.1512
10 Li 0.1741 0.3483 0.8488

Properties
SG: No. 12
Offset from the most stable computed form, eV/atom: 0.279
Total magnetic moment, μB per formula unit: 0.00

=====

No. 2
A relaxed Li3PaTe4 crystal. Source: the Alexandria database, functional GGA-PBE.

Lattice parameters (Å, degrees): 6.0321 8.6117 10.0694 90.00 90.00 90.00
Fractional coordinates of all 16 atoms:
1 Te 0.5646 0.6662 0.2471
2 Te 0.5646 0.1676 0.5000
3 Te 0.0649 0.8290 0.5000
4 Te 0.5649 0.1710 0.0000
5 Te 0.5646 0.6662 0.7529
6 Te 0.0646 0.3338 0.2529
7 Te 0.0646 0.3338 0.7471
8 Te 0.0646 0.8324 0.0000
9 Li 0.5639 0.3327 0.2521
10 Li 0.0639 0.1650 0.5000
11 Li 0.5639 0.8350 0.0000
12 Li 0.0639 0.6673 0.7521
13 Li 0.5639 0.3327 0.7479
14 Li 0.0639 0.6673 0.2479
15 Pa 0.5651 0.8298 0.5000
16 Pa 0.0651 0.1702 0.0000

Properties
SG: No. 31
Offset from the most stable computed form, eV/atom: 0.114
Total magnetic moment, μB per formula unit: 0.00

=====

No. 3
A relaxed Li3Pa4Te8 crystal. Source: the Alexandria database, functional GGA-PBE.

Lattice parameters (Å, degrees): 8.5492 8.5799 8.5799 89.93 119.49 119.49
Each line ends with the local moment (μB).
Fractional coordinates of all 15 atoms:
1 Pa 0.0000 0.5000 0.0000  1.09
2 Pa 0.5000 0.0000 0.0000  1.16
3 Pa 0.0000 0.0000 0.5000  1.09
4 Pa 0.0000 0.0000 0.0000  1.11
5 Te 0.5000 0.2568 0.7432  -0.03
6 Te 0.0000 0.2577 0.7423  -0.04
7 Te 0.4988 0.2512 0.2512  -0.03
8 Te 0.0104 0.2664 0.2664  -0.04
9 Te 0.0000 0.7423 0.2577  -0.04
10 Te 0.5000 0.7432 0.2568  -0.03
11 Te 0.9896 0.7336 0.7336  -0.04
12 Te 0.5012 0.7488 0.7488  -0.03
13 Li 0.5000 0.5000 0.5000  0.00
14 Li 0.5000 0.5000 0.0000  0.00
15 Li 0.5000 0.0000 0.5000  0.00

Properties
Fermi-level density of states, states/eV per cell: 23.8
SG: No. 12
Total magnetic moment, μB per formula unit: 5.13

=====

Number 1: formation energy (no corrections) -0.608 eV per atom, DFT total energy -4.775 eV per atom. Number 2: formation energy (no corrections) -0.809 eV per atom, DFT total energy -4.284 eV per atom. Number 3: formation energy (no corrections) -0.823 eV per atom, DFT total energy -5.413 eV per atom.